# 1
{"formula": "Al2ZnSb2", "functional": "PBE", "state": "optimized geometry", "crystal_system": "tetragonal", "relative_energy_ev_per_atom": 0.068, "final_energy_ev_per_cell": -31.8, "lattice": [[7.8646, 0.0000, 0.0000], [0.0000, 7.8646, 0.0000], [0.0000, 0.0000, 3.7156]], "species": ["Zn", "Zn", "Al", "Al", "Al", "Al", "Sb", "Sb", "Sb", "Sb"], "fractional_positions": [[0.0000, 0.0000, 0.0000], [0.5000, 0.5000, 0.0000], [0.8715, 0.3715, 0.5000], [0.3715, 0.1285, 0.5000], [0.1285, 0.6285, 0.5000], [0.6285, 0.8715, 0.5000], [0.6697, 0.1697, 0.0000], [0.3303, 0.8303, 0.0000], [0.8303, 0.6697, 0.0000], [0.1697, 0.3303, 0.0000]]}

# 2
{"formula": "Al2ZnSb", "functional": "PBE", "state": "optimized geometry", "crystal_system": "orthorhombic", "relative_energy_ev_per_atom": 0.018, "final_energy_ev_per_cell": -12.3, "lattice": [[3.1622, 0.0000, 0.0000], [0.0000, 3.9448, 0.0000], [0.0000, 0.0000, 6.3164]], "species": ["Al", "Al", "Sb", "Zn"], "fractional_positions": [[0.5000, 0.5000, 0.2177], [0.0000, 0.0000, 0.9949], [0.0000, 0.0000, 0.5010], [0.5000, 0.5000, 0.7863]]}